Entry 1:
ThPd5Au2 after structural relaxation, computed with PBE-GGA.

a b c (Å): 4.2422 4.2422 8.4277
angles (deg): 104.46 104.46 89.99
Closest atoms and distances in Å follow each position.
Fractional coordinates of all 8 atoms:
Th (0.0000, 0.0000, 0.0000)  12 Pd 2.92-3.00
Pd (0.5000, 0.5000, 0.0000)  8 Pd 2.92-2.93, 4 Th 3.00
Pd (0.6277, 0.1280, 0.2551)  4 Au 2.84-2.90, 6 Pd 2.92-3.00, 2 Th 2.92-2.93
Pd (0.1280, 0.6277, 0.2551)  4 Au 2.84-2.90, 6 Pd 2.92-3.00, 2 Th 2.92-2.93
Pd (0.3723, 0.8720, 0.7449)  4 Au 2.84-2.90, 6 Pd 2.92-3.00, 2 Th 2.92-2.93
Pd (0.8720, 0.3723, 0.7449)  4 Au 2.84-2.90, 6 Pd 2.92-3.00, 2 Th 2.92-2.93
Au (0.2521, 0.2521, 0.5046)  8 Pd 2.84-2.90, 4 Au 3.00
Au (0.7479, 0.7479, 0.4954)  8 Pd 2.84-2.90, 4 Au 3.00

Energy above the most stable polymorph in this dataset   0.000 eV per atom

---

Entry 2:
Th4Pd15Au after structural relaxation, computed with PBE-GGA.

a b c (Å): 4.2129 4.2129 20.5793
angles (deg): 90.00 90.00 90.00
Closest atoms and distances in Å follow each position.
Fractional coordinates of all 20 atoms:
Th (0.0000, 0.0000, 0.1874)  12 Pd 2.84-3.09
Th (0.0000, 0.0000, 0.3962)  12 Pd 2.93-3.00
Th (0.0000, 0.0000, 0.6038)  12 Pd 2.93-3.00
Th (0.0000, 0.0000, 0.8126)  12 Pd 2.84-3.09
Pd (0.5000, 0.5000, 0.0000)  8 Pd 2.87, 4 Au 2.98
Pd (0.5000, 0.5000, 0.1969)  8 Pd 2.95-2.97, 4 Th 2.99
Pd (0.5000, 0.5000, 0.3990)  8 Pd 2.96-2.97, 4 Th 2.98
Pd (0.5000, 0.5000, 0.6010)  8 Pd 2.96-2.97, 4 Th 2.98
Pd (0.5000, 0.5000, 0.8031)  8 Pd 2.95-2.97, 4 Th 2.99
Pd (0.5000, 0.0000, 0.0950)  2 Th 2.84, 8 Pd 2.87-2.98, 2 Au 2.87
Pd (0.5000, 0.0000, 0.2970)  4 Th 2.93-3.09, 8 Pd 2.95-2.98
Pd (0.5000, 0.0000, 0.5000)  8 Pd 2.96-2.98, 4 Th 3.00
Pd (0.5000, 0.0000, 0.7030)  4 Th 2.93-3.09, 8 Pd 2.95-2.98
Pd (0.5000, 0.0000, 0.9050)  2 Th 2.84, 2 Au 2.87, 8 Pd 2.87-2.98
Pd (0.0000, 0.5000, 0.0950)  2 Th 2.84, 8 Pd 2.87-2.98, 2 Au 2.87
Pd (0.0000, 0.5000, 0.2970)  4 Th 2.93-3.09, 8 Pd 2.95-2.98
Pd (0.0000, 0.5000, 0.5000)  8 Pd 2.96-2.98, 4 Th 3.00
Pd (0.0000, 0.5000, 0.7030)  4 Th 2.93-3.09, 8 Pd 2.95-2.98
Pd (0.0000, 0.5000, 0.9050)  2 Th 2.84, 2 Au 2.87, 8 Pd 2.87-2.98
Au (0.0000, 0.0000, 0.0000)  12 Pd 2.87-2.98

E_tot   -6.334 eV per atom

---

Entry 3:
ThPd4Au2 after structural relaxation, computed with PBE-GGA.

a b c (Å): 7.4417 7.8703 6.9007
angles (deg): 111.96 111.20 116.62
Closest atoms and distances in Å follow each position.
Fractional coordinates of all 14 atoms:
Th (0.2316, 0.7865, 0.4536)  8 Pd 2.93-3.27, 5 Au 2.93-3.24
Th (0.9665, 0.0429, 0.0415)  8 Pd 2.81-3.12, 1 Au 3.04
Pd (0.7174, 0.9630, 0.5283)  4 Au 2.82-2.97, 6 Pd 2.87-3.14, 2 Th 2.98-2.99
Pd (0.4335, 0.5552, 0.5624)  3 Au 2.75-2.88, 4 Pd 2.88-3.04, 3 Th 2.96-2.97
Pd (0.5010, 0.1842, 0.4395)  6 Pd 2.76-3.04, 4 Au 2.82-3.01, 1 Th 2.93
Pd (0.9414, 0.3566, 0.4517)  5 Au 2.83-3.06, 4 Pd 2.88-3.14, 2 Th 3.08-3.12
Pd (0.0084, 0.6670, 0.9241)  3 Au 2.77-2.81, 5 Pd 2.85-3.00, 2 Th 2.94-2.95
Pd (0.6921, 0.6533, 0.0692)  4 Au 2.72-2.93, 3 Pd 2.85-2.93, 1 Th 2.95
Pd (0.2407, 0.4660, 0.0517)  3 Au 2.83-2.97, 6 Pd 2.87-3.03, 2 Th 2.98-3.02
Pd (0.3406, 0.1283, 0.9748)  4 Au 2.74-2.85, 2 Pd 2.76-2.98, 1 Th 2.81
Au (0.7778, 0.6219, 0.4671)  7 Pd 2.72-3.00
Au (0.1866, 0.1857, 0.5968)  7 Pd 2.74-2.92, 1 Th 3.04
Au (0.7478, 0.2895, 0.9414)  7 Pd 2.81-3.00, 2 Th 2.93-2.97
Au (0.4647, 0.8499, 0.9979)  9 Pd 2.76-3.06

Energy above the most stable polymorph in this dataset   0.000 eV per atom

---

Entry 4:
Th3Pd12Au after structural relaxation, computed with PBE-GGA.

a b c (Å): 4.2080 4.2080 16.3647
angles (deg): 90.00 90.00 90.00
Closest atoms and distances in Å follow each position.
Fractional coordinates of all 16 atoms:
Th (0.0000, 0.0000, 0.2368)  12 Pd 2.85-3.06
Th (0.0000, 0.0000, 0.5000)  12 Pd 2.96-2.98
Th (0.0000, 0.0000, 0.7632)  12 Pd 2.85-3.06
Pd (0.5000, 0.5000, 0.0000)  8 Pd 2.87, 4 Au 2.98
Pd (0.5000, 0.5000, 0.2468)  8 Pd 2.95-2.96, 4 Th 2.98
Pd (0.5000, 0.5000, 0.5000)  8 Pd 2.96, 4 Th 2.98
Pd (0.5000, 0.5000, 0.7532)  8 Pd 2.95-2.96, 4 Th 2.98
Pd (0.5000, 0.0000, 0.1193)  2 Th 2.85, 8 Pd 2.87-2.98, 2 Au 2.87
Pd (0.5000, 0.0000, 0.3728)  8 Pd 2.95-2.98, 4 Th 2.96-3.06
Pd (0.5000, 0.0000, 0.6272)  8 Pd 2.95-2.98, 4 Th 2.96-3.06
Pd (0.5000, 0.0000, 0.8807)  2 Th 2.85, 8 Pd 2.87-2.98, 2 Au 2.87
Pd (0.0000, 0.5000, 0.1193)  2 Th 2.85, 8 Pd 2.87-2.98, 2 Au 2.87
Pd (0.0000, 0.5000, 0.3728)  8 Pd 2.95-2.98, 4 Th 2.96-3.06
Pd (0.0000, 0.5000, 0.6272)  8 Pd 2.95-2.98, 4 Th 2.96-3.06
Pd (0.0000, 0.5000, 0.8807)  2 Th 2.85, 8 Pd 2.87-2.98, 2 Au 2.87
Au (0.0000, 0.0000, 0.0000)  12 Pd 2.87-2.98

E_tot   -6.246 eV per atom

---

Entry 5:
ThPd8Au2 after structural relaxation, computed with PBE-GGA.

a b c (Å): 5.0161 4.9783 7.6770
angles (deg): 96.43 91.37 98.55
Closest atoms and distances in Å follow each position.
Fractional coordinates of all 11 atoms:
Th (0.5000, 0.0000, 0.0000)  10 Pd 2.87-2.95, 2 Au 3.06
Pd (0.5815, 0.5538, 0.1925)  2 Au 2.83-2.92, 8 Pd 2.83-3.02, 2 Th 2.87-2.95
Pd (0.3262, 0.9012, 0.6329)  8 Pd 2.82-2.98, 3 Au 2.82-2.97, 1 Th 2.90
Pd (0.2279, 0.3660, 0.4501)  9 Pd 2.82-2.93, 3 Au 2.84-2.86
Pd (0.9549, 0.7158, 0.9073)  7 Pd 2.79-3.02, 3 Au 2.86-2.93, 2 Th 2.92
Pd (0.7721, 0.6340, 0.5499)  9 Pd 2.82-2.93, 3 Au 2.84-2.86
Pd (0.6738, 0.0988, 0.3671)  8 Pd 2.82-2.98, 3 Au 2.82-2.97, 1 Th 2.90
Pd (0.4185, 0.4462, 0.8075)  2 Au 2.83-2.92, 8 Pd 2.83-3.02, 2 Th 2.87-2.95
Pd (0.0451, 0.2842, 0.0927)  7 Pd 2.79-3.02, 3 Au 2.86-2.93, 2 Th 2.92
Au (0.1134, 0.8211, 0.2816)  11 Pd 2.82-2.97, 1 Th 3.06
Au (0.8866, 0.1789, 0.7184)  11 Pd 2.82-2.97, 1 Th 3.06

Energy above the most stable polymorph in this dataset   0.030 eV per atom

---

Entry 6:
Th2PdAu after structural relaxation, computed with PBE-GGA.

a b c (Å): 4.5720 6.0418 7.8647
angles (deg): 109.67 90.00 90.00
Closest atoms and distances in Å follow each position.
Fractional coordinates of all 8 atoms:
Th (0.7500, 0.2095, 0.4322)  4 Pd 3.07-3.30, 3 Au 3.12-3.20
Th (0.2500, 0.7905, 0.5678)  4 Pd 3.07-3.30, 3 Au 3.12-3.20
Th (0.2500, 0.7844, 0.0767)  3 Pd 3.07-3.24, 4 Au 3.12-3.22
Th (0.7500, 0.2156, 0.9233)  3 Pd 3.07-3.24, 4 Au 3.12-3.22
Pd (0.7500, 0.6668, 0.2919)  2 Au 2.96, 7 Th 3.07-3.30
Pd (0.2500, 0.3332, 0.7081)  2 Au 2.96, 7 Th 3.07-3.30
Au (0.2500, 0.3361, 0.2100)  2 Pd 2.96, 7 Th 3.12-3.22
Au (0.7500, 0.6639, 0.7900)  2 Pd 2.96, 7 Th 3.12-3.22

E_tot   -6.502 eV per atom